No. 1
# SrMgHg3, relaxed, DFT PBE-GGA
data_SrMgHg3
_cell_length_a 7.222
_cell_length_b 7.303
_cell_length_c 5.777
_cell_angle_alpha 90.00
_cell_angle_beta 90.00
_cell_angle_gamma 90.00
_space_group_name_H-M_alt 'P b a m'
_space_group_IT_number 55
loop_
_space_group_symop_operation_xyz
'x,y,z'
'-x,-y,-z'
'-x,-y,z'
'x,y,-z'
'x+1/2,-y+1/2,-z'
'-x+1/2,y+1/2,z'
'-x+1/2,y+1/2,-z'
'x+1/2,-y+1/2,z'
loop_
_atom_site_label
_atom_site_type_symbol
_atom_site_fract_x
_atom_site_fract_y
_atom_site_fract_z
Sr1 Sr 0.000 0.000 0.000
Mg1 Mg 0.000 0.500 0.500
Hg1 Hg 0.000 0.500 0.000
Hg2 Hg 0.157 0.160 0.500
# Calculated total energy   -10.55 eV per cell



No. 2
# ZrGa2Rh, relaxed, DFT PBE-GGA
data_ZrGa2Rh
_cell_length_a 4.1867
_cell_length_b 4.1867
_cell_length_c 13.5058
_cell_angle_alpha 90.00
_cell_angle_beta 90.00
_cell_angle_gamma 120.00
_space_group_name_H-M_alt 'R -3 m'
_space_group_IT_number 166
_space_group_name_Hall '-R 3 2"'
loop_
_atom_site_label
_atom_site_type_symbol
_atom_site_fract_x
_atom_site_fract_y
_atom_site_fract_z
Zr1 Zr 0.0000 0.0000 0.0000
Ga1 Ga 0.0000 0.0000 0.2262
Rh1 Rh 0.0000 0.0000 0.5000
# Calculated total energy   -73.06 eV per cell



Number 1: density of states at the Fermi level 3.4 states/eV/f.u.. Number 2: density of states at the Fermi level 2.2 states/eV/f.u..